This record from Alexandria via LeMat-Bulk describes a relaxed GdHfAs2 crystal. The functional is PBE.

Cell lengths 3.9674, 3.9674, 19.7028 Å; angles 90.00, 90.00, 120.00 degrees
Space group R-3m (No. 166, hexagonal axes)
One atom of each set of equivalent atoms:
Gd  0.0000  0.0000  0.0000 [3 per cell]
Hf  0.0000  0.0000  0.5000 [3 per cell]
As  0.0000  0.0000  0.2433 [6 per cell]

Total magnetization   1.710 μB per atom
Crystal system   trigonal
Energy of formation from the pure elements   -5.093 eV per formula unit

This record from Alexandria via LeMat-Bulk describes a relaxed GdHoAs2 crystal. The functional is PBE.

Cell lengths 4.1353, 4.1353, 20.2427 Å; angles 90.00, 90.00, 120.00 degrees
Space group R-3m (No. 166, hexagonal axes)
One atom of each set of equivalent atoms:
Gd  0.0000  0.0000  0.0000 [3 per cell]
Ho  0.0000  0.0000  0.5000 [3 per cell]
As  0.0000  0.0000  0.2488 [6 per cell]

Total magnetization   1.744 μB per atom
Crystal system   trigonal
Energy of formation from the pure elements   -6.132 eV per formula unit

This record from Alexandria via LeMat-Bulk describes a relaxed Gd2HoAs crystal. The functional is PBE.

Cell lengths 3.8865, 3.8865, 28.3910 Å; angles 90.00, 90.00, 120.00 degrees
Space group R-3m (No. 166, hexagonal axes)
One atom of each set of equivalent atoms:
Gd  0.0000  0.0000  0.2290 [6 per cell]
Ho  0.0000  0.0000  0.0000 [3 per cell]
As  0.0000  0.0000  0.5000 [3 per cell]

Total magnetization   3.953 μB per atom
Crystal system   trigonal
Energy of formation from the pure elements   -2.348 eV per formula unit

This record from Alexandria via LeMat-Bulk describes a relaxed GdInAs2 crystal. The functional is PBE.

Cell lengths 4.1535, 4.1535, 19.8599 Å; angles 90.00, 90.00, 120.00 degrees
Space group R-3m (No. 166, hexagonal axes)
One atom of each set of equivalent atoms:
Gd  0.0000  0.0000  0.0000 [3 per cell]
In  0.0000  0.0000  0.5000 [3 per cell]
As  0.0000  0.0000  0.2477 [6 per cell]

Total magnetization   1.786 μB per atom
Crystal system   trigonal
Energy of formation from the pure elements   -2.651 eV per formula unit

This record from Alexandria via LeMat-Bulk describes a relaxed Gd2InAs crystal. The functional is PBE.

Cell lengths 4.0245, 4.0245, 23.9399 Å; angles 90.00, 90.00, 120.00 degrees
Space group R-3m (No. 166, hexagonal axes)
One atom of each set of equivalent atoms:
Gd  0.0000  0.0000  0.2375 [6 per cell]
In  0.0000  0.0000  0.0000 [3 per cell]
As  0.0000  0.0000  0.5000 [3 per cell]

Total magnetization   3.564 μB per atom
Crystal system   trigonal
Energy of formation from the pure elements   -3.665 eV per formula unit

This record from Alexandria via LeMat-Bulk describes a relaxed GdAsIr crystal. The functional is PBE.

Cell lengths 4.2762, 4.2762, 3.8916 Å; angles 90.00, 90.00, 120.00 degrees
Space group P-6m2 (No. 187)
One atom of each set of equivalent atoms:
Gd  0.0000  0.0000  0.0000 [1 per cell]
As  0.3333  0.6667  0.5000 [1 per cell]
Ir  0.6667  0.3333  0.5000 [1 per cell]

Total magnetization   2.324 μB per atom
Crystal system   hexagonal
Energy of formation from the pure elements   -2.836 eV per formula unit

This record from Alexandria via LeMat-Bulk describes a relaxed LaGd2As crystal. The functional is PBE.

Cell lengths 3.767, 3.767, 8.042 Å; angles 90.00, 90.00, 90.00 degrees
Space group P4/mmm (No. 123)
One atom of each set of equivalent atoms:
La  0.000  0.000  0.000 [1 per cell]
Gd  0.500  0.500  0.306 [2 per cell]
As  0.000  0.000  0.500 [1 per cell]

Total magnetization   3.790 μB per atom
Crystal system   tetragonal
Energy of formation from the pure elements   -2.371 eV per formula unit

This record from Alexandria via LeMat-Bulk describes a relaxed LaGdAs2 crystal. The functional is PBE.

Cell lengths 4.2766, 4.2766, 20.9189 Å; angles 90.00, 90.00, 120.00 degrees
Space group R-3m (No. 166, hexagonal axes)
One atom of each set of equivalent atoms:
La  0.0000  0.0000  0.0000 [3 per cell]
Gd  0.0000  0.0000  0.5000 [3 per cell]
As  0.0000  0.0000  0.2463 [6 per cell]

Total magnetization   1.746 μB per atom
Crystal system   trigonal
Energy of formation from the pure elements   -6.193 eV per formula unit

This record from Alexandria via LeMat-Bulk describes a relaxed La2GdAs crystal. The functional is PBE.

Cell lengths 3.9760, 3.9760, 31.7344 Å; angles 90.00, 90.00, 120.00 degrees
Space group R-3m (No. 166, hexagonal axes)
One atom of each set of equivalent atoms:
La  0.0000  0.0000  0.1091 [6 per cell]
Gd  0.0000  0.0000  0.0000 [3 per cell]
As  0.0000  0.0000  0.5000 [3 per cell]

Total magnetization   1.900 μB per atom
Crystal system   trigonal
Energy of formation from the pure elements   -1.755 eV per formula unit

This record from Alexandria via LeMat-Bulk describes a relaxed LiGd2As crystal. The functional is PBE.

Cell lengths 4.843, 4.843, 3.920 Å; angles 90.00, 90.00, 90.00 degrees
Space group P4/mmm (No. 123)
One atom of each set of equivalent atoms:
Li  0.000  0.000  0.000 [1 per cell]
Gd  0.000  0.500  0.500 [2 per cell]
As  0.500  0.500  0.000 [1 per cell]

Total magnetization   3.734 μB per atom
Crystal system   tetragonal
Energy of formation from the pure elements   -2.478 eV per formula unit

This record from Alexandria via LeMat-Bulk describes a relaxed LiGdAs2 crystal. The functional is PBE.

Cell lengths 4.558, 4.558, 3.925 Å; angles 90.00, 90.00, 90.00 degrees
Space group P4/mmm (No. 123)
One atom of each set of equivalent atoms:
Li  0.000  0.000  0.000 [1 per cell]
Gd  0.500  0.500  0.000 [1 per cell]
As  0.000  0.500  0.500 [2 per cell]

Total magnetization   1.732 μB per atom
Crystal system   tetragonal
Energy of formation from the pure elements   -3.265 eV per formula unit

This record from Alexandria via LeMat-Bulk describes a relaxed GdLuAs crystal. The functional is PBE.

Cell lengths 4.6729, 4.6729, 4.2174 Å; angles 90.00, 90.00, 120.00 degrees
Space group P3m1 (No. 156)
One atom of each set of equivalent atoms:
Gd  0.0000  0.0000  0.0000 [1 per cell]
Lu  0.3333  0.6667  0.5017 [1 per cell]
As  0.6667  0.3333  0.6594 [1 per cell]

Total magnetization   2.433 μB per atom
Crystal system   trigonal
Energy of formation from the pure elements   -1.719 eV per formula unit